The following is a DFT calculation (meta-GGA SCAN) of a crystal of Li4TiCo3O8 relaxed with PBEsol.

Properties
Distance to the lowest polymorph of the same formula   0 meV per atom
ΔE_f (raw)   -2130 meV/atom

Structure (POSCAR):
```
Li4TiCo3O8
1.0
5.587 0.000 0.000
-0.017 5.774 0.000
-0.003 -0.199 8.210
Li Ti Co O
8 2 6 16
Cartesian
0.000 0.000 0.000
-0.007 2.726 4.224
1.382 4.166 6.200
1.401 1.404 2.105
2.795 0.013 0.007
2.789 2.772 4.156
4.161 1.386 2.111
4.183 4.165 6.196
2.807 2.965 0.106
5.559 5.566 4.068
5.575 2.659 8.207
1.252 4.300 2.129
1.397 1.277 6.189
2.790 5.640 4.183
4.185 1.279 6.190
4.258 4.278 2.106
-0.002 -0.022 6.109
-0.001 2.551 6.288
1.374 1.330 8.122
1.367 4.042 8.196
1.406 4.276 4.211
1.429 1.216 4.254
2.792 0.004 6.092
2.789 2.584 6.270
2.814 2.835 2.013
2.831 5.533 2.287
4.165 1.229 4.268
4.167 4.254 4.226
4.205 1.321 8.110
4.205 4.060 8.167
5.535 2.885 1.894
5.552 0.030 2.133
```



The following is a DFT calculation (meta-GGA SCAN) of a crystal of Cr4IrPt relaxed with PBEsol.

Properties
Formation energy from the elements   -0.129 eV per atom

Structure (POSCAR):
```
Cr4IrPt
1.0
0.000 3.316 3.316
3.316 0.000 3.316
3.316 3.316 0.000
Cr Ir Pt
4 1 1
Cartesian
2.504 2.504 2.504
4.127 4.127 2.504
4.127 2.504 4.127
2.504 4.127 4.127
0.000 0.000 0.000
4.974 4.974 4.974
```



The following is a DFT calculation (meta-GGA SCAN) of a crystal of ZrMoSe3 relaxed with PBEsol.

Properties
ΔE_f (raw)   57 meV/atom

Structure (POSCAR):
```
ZrMoSe3
1.0
5.104 0.000 0.000
0.000 5.104 0.000
0.000 0.000 5.104
Zr Mo Se
1 1 3
Cartesian
0.000 0.000 0.000
2.552 2.552 2.552
0.000 0.000 2.552
0.000 2.552 0.000
2.552 0.000 0.000
```



The following is a DFT calculation (meta-GGA SCAN) of a crystal of MgCrSi2 relaxed with PBEsol.

Properties
ΔE_f (raw)   110 meV/atom

Structure (POSCAR):
```
MgCrSi2
1.0
3.678 0.000 0.000
0.000 3.678 0.000
0.000 0.000 8.095
Mg Cr Si
2 2 4
Cartesian
0.000 0.000 0.000
1.839 1.839 4.047
0.000 1.839 6.071
1.839 0.000 2.024
0.000 0.000 4.047
0.000 1.839 2.024
1.839 0.000 6.071
1.839 1.839 0.000
```



The following is a DFT calculation (meta-GGA SCAN) of a crystal of ZrCdRe relaxed with PBEsol.

Properties
Formation energy from the elements   1.052 eV per atom

Structure (POSCAR):
```
ZrCdRe
1.0
6.390 0.000 0.000
0.000 6.390 0.000
0.000 0.000 6.390
Zr Cd Re
4 4 4
Cartesian
0.000 0.000 0.000
0.000 3.195 3.195
3.195 0.000 3.195
3.195 3.195 0.000
1.598 1.598 1.598
1.598 4.793 4.793
4.793 1.598 4.793
4.793 4.793 1.598
1.598 1.598 4.793
1.598 4.793 1.598
4.793 1.598 1.598
4.793 4.793 4.793
```



The following is a DFT calculation (meta-GGA SCAN) of a crystal of CoSb3O relaxed with PBEsol.

Properties
Distance to the lowest polymorph of the same formula   214 meV per atom
ΔE_f (raw)   652 meV/atom

Structure (POSCAR):
```
CoSb3O
1.0
4.764 0.000 0.000
0.000 4.764 0.000
0.000 0.000 4.764
Co Sb O
1 3 1
Cartesian
0.000 0.000 0.000
0.000 0.000 2.382
0.000 2.382 0.000
2.382 0.000 0.000
2.382 2.382 2.382
```



The following is a DFT calculation (meta-GGA SCAN) of a crystal of InCo2Os relaxed with PBEsol.

Properties
Formation energy from the elements   0.384 eV per atom

Structure (POSCAR):
```
InCo2Os
1.0
2.715 0.000 0.000
0.000 3.528 0.000
0.000 0.000 5.550
In Co Os
1 2 1
Cartesian
0.000 0.000 0.000
1.358 1.764 1.573
1.358 1.764 3.976
0.000 0.000 2.775
```



The following is a DFT calculation (meta-GGA SCAN) of a crystal of KMg2Al relaxed with PBEsol.

Properties
Formation energy from the elements   0.269 eV per atom

Structure (POSCAR):
```
KMg2Al
1.0
3.293 0.000 0.000
-1.647 2.852 0.000
0.000 0.000 33.234
K Mg Al
3 6 3
Cartesian
0.000 0.000 0.000
0.000 1.901 22.156
1.647 0.951 11.078
0.000 0.000 7.848
0.000 0.000 25.386
0.000 1.901 14.308
0.000 1.901 30.005
1.647 0.951 3.230
1.647 0.951 18.926
0.000 0.000 16.617
0.000 1.901 5.539
1.647 0.951 27.695
```



The following is a DFT calculation (meta-GGA SCAN) of a crystal of TcTe2PN relaxed with PBEsol.

Properties
ΔE_f (raw)   497 meV/atom

Structure (POSCAR):
```
TcTe2PN
1.0
5.236 0.000 0.000
0.000 5.236 0.000
0.000 0.000 3.652
Tc Te P N
1 2 1 1
Cartesian
0.000 0.000 0.000
0.000 2.618 0.000
2.618 0.000 0.000
2.618 2.618 1.826
0.000 0.000 1.826
```



The following is a DFT calculation (meta-GGA SCAN) of a crystal of InHg2 relaxed with PBEsol.

Properties
Formation energy from the elements   0.030 eV per atom

Structure (POSCAR):
```
InHg2
1.0
12.302 0.000 0.000
0.000 3.464 0.000
-2.517 0.000 6.744
In Hg
4 8
Cartesian
1.996 0.000 0.966
1.638 1.732 5.777
8.147 1.732 0.966
7.789 0.000 5.777
-1.669 1.732 5.406
0.350 0.000 3.580
3.284 1.732 3.164
5.303 0.000 1.337
4.482 0.000 5.406
6.501 1.732 3.580
9.435 0.000 3.164
11.454 1.732 1.337
```



The following is a DFT calculation (meta-GGA SCAN) of a crystal of Ru5Rh relaxed with PBEsol.

Properties
Distance to the lowest polymorph of the same formula   103 meV per atom
Formation energy from the elements   0.102 eV per atom

Structure (POSCAR):
```
Ru5Rh
1.0
3.768 0.000 0.000
0.000 11.268 0.000
0.000 0.000 3.770
Ru Rh
10 2
Cartesian
0.000 0.000 0.000
0.000 1.893 1.885
0.000 3.747 0.000
0.000 7.521 0.000
0.000 9.375 1.885
1.884 1.887 0.000
1.884 3.741 1.885
1.884 5.634 0.000
1.884 7.527 1.885
1.884 9.381 0.000
0.000 5.634 1.885
1.884 0.000 1.885
```



The following is a DFT calculation (meta-GGA SCAN) of a crystal of SmAl10Ru2 relaxed with PBEsol.

Properties
Formation energy from the elements   -0.603 eV per atom

Structure (POSCAR):
```
SmAl10Ru2
1.0
4.523 -5.101 0.000
4.523 5.101 0.000
0.000 0.000 9.094
Sm Al Ru
2 20 4
Cartesian
4.523 3.816 6.821
4.523 -3.816 2.274
2.495 1.385 6.821
4.523 3.484 0.915
4.523 3.484 3.632
3.165 1.331 2.274
2.045 0.000 0.000
2.045 0.000 4.547
4.523 1.257 5.004
4.523 1.257 8.638
2.495 -1.385 2.274
3.165 -1.331 6.821
5.881 1.331 2.274
6.551 1.385 6.821
4.523 -1.257 0.456
4.523 -1.257 4.091
7.001 0.000 0.000
7.001 0.000 4.547
5.881 -1.331 6.821
4.523 -3.484 5.462
4.523 -3.484 8.179
6.551 -1.385 2.274
2.262 2.551 0.000
2.262 2.551 4.547
2.262 -2.551 0.000
2.262 -2.551 4.547
```



The following is a DFT calculation (meta-GGA SCAN) of a crystal of Cd2CuRh relaxed with PBEsol.

Properties
Formation energy from the elements   -0.024 eV per atom

Structure (POSCAR):
```
Cd2CuRh
1.0
3.102 0.000 0.000
0.000 4.478 0.000
0.000 0.000 9.094
Cd Cu Rh
4 2 2
Cartesian
0.000 0.000 0.000
0.000 2.239 2.073
1.551 0.000 6.620
1.551 2.239 4.547
0.000 2.239 6.768
1.551 0.000 2.221
0.000 0.000 4.262
1.551 2.239 8.809
```